Record 1
Below is a geometry-optimized Er4SiS2 structure, with properties calculated at the PBE level.

Cell lengths 7.554, 7.554, 7.554 Å; angles 103.80, 103.80, 121.53 degrees
Sites, in units of the cell vectors:
Er 0.201 0.865 0.254
Er 0.053 0.799 0.664
Er 0.611 0.947 0.746
Er 0.135 0.389 0.336
Er 0.549 0.303 0.164
Er 0.697 0.861 0.246
Er 0.139 0.385 0.836
Er 0.615 0.451 0.754
Si 0.750 0.250 0.500
Si 0.000 0.000 0.000
S 0.875 0.405 0.030
S 0.155 0.125 0.530
S 0.375 0.845 0.970
S 0.595 0.625 0.470

Properties
E_form (uncorrected)	-1.29	eV per atom
D(E_F)	4.942	states/eV/f.u.

=====

Record 2
Below is a geometry-optimized Er3SiS2 structure, with properties calculated at the PBE level.

Cell lengths 6.404, 7.485, 7.485 Å; angles 88.86, 90.00, 90.00 degrees
Sites, in units of the cell vectors:
Er 0.750 0.102 0.898
Er 0.750 0.259 0.432
Er 0.250 0.432 0.259
Er 0.750 0.568 0.741
Er 0.250 0.741 0.568
Er 0.250 0.898 0.102
Si 0.250 0.371 0.629
Si 0.750 0.629 0.371
S 0.000 0.168 0.168
S 0.500 0.168 0.168
S 0.000 0.832 0.832
S 0.500 0.832 0.832

Properties
E_form (uncorrected)	-0.82	eV per atom
D(E_F)	2.852	states/eV/f.u.
excess energy over the best structure of this formula in the dataset	798	meV per atom

=====

Record 3
Below is a geometry-optimized Er5SiS5 structure, with properties calculated at the PBE level.

Cell lengths 5.518, 6.797, 7.841 Å; angles 106.73, 90.00, 113.95 degrees
Sites, in units of the cell vectors:
Er 0.839 0.679 0.175
Er 0.835 0.671 0.664
Er 0.500 0.000 0.000
Er 0.165 0.329 0.336
Er 0.161 0.321 0.825
Si 0.000 0.000 0.000
S 0.671 0.342 0.334
S 0.672 0.345 0.841
S 0.000 0.000 0.500
S 0.328 0.655 0.159
S 0.329 0.658 0.666

Properties
E_form (uncorrected)	-1.84	eV per atom
D(E_F)	2.259	states/eV/f.u.

=====

Record 4
Below is a geometry-optimized ErSi2S6 structure, with properties calculated at the PBE level.

Cell lengths 6.344, 8.393, 8.393 Å; angles 84.19, 82.13, 82.13 degrees
Each line ends with the local moment (μB).
Sites, in units of the cell vectors:
Er 0.250 0.121 0.879  0.00
Er 0.750 0.879 0.121  0.00
Si 0.183 0.640 0.790  -0.01
Si 0.317 0.210 0.360  -0.01
Si 0.817 0.360 0.210  -0.01
Si 0.683 0.790 0.640  -0.01
S 0.387 0.723 0.576  0.10
S 0.113 0.424 0.277  0.10
S 0.613 0.277 0.424  0.10
S 0.887 0.576 0.723  0.10
S 0.850 0.875 0.421  0.17
S 0.650 0.579 0.125  0.17
S 0.150 0.125 0.579  0.17
S 0.350 0.421 0.875  0.17
S 0.148 0.808 0.967  0.01
S 0.352 0.033 0.192  0.01
S 0.852 0.192 0.033  0.01
S 0.648 0.967 0.808  0.01

Properties
E_form (uncorrected)	-0.83	eV per atom
D(E_F)	4.815	states/eV/f.u.

=====

Record 5
Below is a geometry-optimized Er6SiS4 structure, with properties calculated at the PBE level.

Cell lengths 3.899, 6.593, 19.594 Å; angles 90.00, 90.00, 107.20 degrees
Sites, in units of the cell vectors:
Er 0.500 0.000 0.000
Er 0.500 0.000 0.500
Er 0.053 0.106 0.334
Er 0.947 0.894 0.666
Er 0.947 0.894 0.834
Er 0.053 0.106 0.166
Er 0.773 0.545 0.411
Er 0.227 0.455 0.589
Er 0.227 0.455 0.911
Er 0.773 0.545 0.089
Er 0.331 0.663 0.250
Er 0.669 0.337 0.750
Si 0.668 0.337 0.250
Si 0.332 0.663 0.750
S 0.861 0.721 0.539
S 0.412 0.825 0.124
S 0.139 0.279 0.461
S 0.588 0.175 0.876
S 0.861 0.721 0.961
S 0.139 0.279 0.039
S 0.588 0.175 0.624
S 0.412 0.825 0.376

Properties
E_form (uncorrected)	-1.58	eV per atom
D(E_F)	7.769	states/eV/f.u.

=====

Record 6
Below is a geometry-optimized Er5Si2S2 structure, with properties calculated at the PBE level.

Cell lengths 7.437, 7.333, 7.934 Å; angles 117.52, 90.00, 90.00 degrees
Sites, in units of the cell vectors:
Er 0.000 0.000 0.000
Er 0.500 0.500 0.000
Er 0.837 0.808 0.277
Er 0.163 0.469 0.277
Er 0.337 0.969 0.277
Er 0.663 0.308 0.277
Er 0.163 0.192 0.723
Er 0.837 0.531 0.723
Er 0.663 0.031 0.723
Er 0.337 0.692 0.723
Si 0.626 0.874 0.000
Si 0.374 0.126 0.000
Si 0.126 0.626 0.000
Si 0.874 0.374 0.000
S 0.000 0.198 0.395
S 0.500 0.698 0.395
S 0.000 0.802 0.605
S 0.500 0.302 0.605

Properties
E_form (uncorrected)	-1.18	eV per atom
D(E_F)	6.107	states/eV/f.u.

=====

Record 7
Below is a geometry-optimized Er2SiS structure, with properties calculated at the PBE level.

Cell lengths 3.921, 3.921, 7.291 Å; angles 74.40, 74.40, 60.00 degrees
Sites, in units of the cell vectors:
Er 0.080 0.080 0.760
Er 0.255 0.255 0.236
Si 0.668 0.668 0.997
S 0.498 0.498 0.507

Properties
E_form (uncorrected)	-1.21	eV per atom
D(E_F)	2.567	states/eV/f.u.
excess energy over the best structure of this formula in the dataset	182	meV per atom

=====

Record 8
Below is a geometry-optimized Er2SiS structure, with properties calculated at the PBE level.

Cell lengths 3.974, 3.974, 6.975 Å; angles 90.00, 106.55, 119.99 degrees
Sites, in units of the cell vectors:
Er 0.499 0.249 0.748
Er 0.501 0.751 0.252
Si 0.000 0.500 0.500
S 0.000 0.000 0.000

Properties
E_form (uncorrected)	-1.35	eV per atom
D(E_F)	1.561	states/eV/f.u.
excess energy over the best structure of this formula in the dataset	41	meV per atom

=====

Record 9
Below is a geometry-optimized Er5SiS4 structure, with properties calculated at the PBE level.

Cell lengths 5.523, 6.791, 6.791 Å; angles 80.48, 66.00, 66.00 degrees
Sites, in units of the cell vectors:
Er 0.902 0.396 0.802
Er 0.298 0.802 0.604
Er 0.704 0.198 0.396
Er 0.100 0.604 0.198
Er 0.501 0.000 0.000
Si 0.001 0.000 0.000
S 0.401 0.402 0.798
S 0.803 0.798 0.598
S 0.199 0.202 0.402
S 0.601 0.598 0.202

Properties
E_form (uncorrected)	-1.77	eV per atom
D(E_F)	4.123	states/eV/f.u.

=====

Record 10
Below is a geometry-optimized Er6Si2SnS3 structure, with properties calculated at the PBE level.

Cell lengths 4.000, 8.166, 9.061 Å; angles 103.81, 102.75, 90.00 degrees
Sites, in units of the cell vectors:
Er 0.327 0.909 0.654
Er 0.670 0.579 0.340
Er 0.673 0.091 0.346
Er 0.000 0.269 0.000
Er 0.000 0.731 0.000
Er 0.330 0.421 0.660
Si 0.835 0.668 0.669
Si 0.165 0.332 0.331
Sn 0.500 0.000 0.000
S 0.500 0.500 0.000
S 0.833 0.169 0.667
S 0.167 0.831 0.333

Properties
E_form (uncorrected)	-1.31	eV per atom
D(E_F)	3.876	states/eV/f.u.

=====

Record 11
Below is a geometry-optimized Er8SiTe3S3 structure, with properties calculated at the PBE level.

Cell lengths 8.020, 8.021, 8.307 Å; angles 118.88, 90.00, 120.00 degrees
Sites, in units of the cell vectors:
Er 0.266 0.532 0.299
Er 0.734 0.468 0.701
Er 0.759 0.517 0.285
Er 0.241 0.483 0.715
Er 0.759 0.027 0.286
Er 0.241 0.973 0.714
Er 0.268 0.027 0.286
Er 0.732 0.973 0.714
Si 0.000 0.000 0.500
Te 0.000 0.000 0.000
Te 0.000 0.500 0.000
Te 0.500 0.500 0.000
S 0.500 0.000 0.500
S 0.500 0.500 0.500
S 0.000 0.500 0.500

Properties
E_form (uncorrected)	-1.39	eV per atom
D(E_F)	5.624	states/eV/f.u.

=====

Record 12
Below is a geometry-optimized Er4SiTeS2 structure, with properties calculated at the PBE level.

Cell lengths 4.032, 6.942, 7.130 Å; angles 70.64, 90.00, 90.00 degrees
Sites, in units of the cell vectors:
Er 0.000 0.770 0.719
Er 0.000 0.230 0.281
Er 0.500 0.754 0.267
Er 0.500 0.246 0.733
Si 0.000 0.500 0.500
Te 0.500 0.500 0.000
S 0.000 0.000 0.000
S 0.500 0.000 0.500

Properties
E_form (uncorrected)	-1.49	eV per atom
D(E_F)	2.582	states/eV/f.u.

=====

Record 13
Below is a geometry-optimized Er8Si3Te4S structure, with properties calculated at the PBE level.

Cell lengths 8.298, 8.479, 8.299 Å; angles 119.29, 119.99, 90.00 degrees
Sites, in units of the cell vectors:
Er 0.241 0.715 0.975
Er 0.241 0.715 0.482
Er 0.261 0.282 0.521
Er 0.734 0.715 0.975
Er 0.266 0.285 0.025
Er 0.739 0.718 0.479
Er 0.759 0.285 0.518
Er 0.759 0.285 0.025
Si 0.500 0.500 0.000
Si 0.500 0.500 0.500
Si 0.000 0.500 0.500
Te 0.500 0.000 0.000
Te 0.500 0.000 0.500
Te 0.000 0.000 0.000
Te 0.000 0.000 0.500
S 0.000 0.500 0.000

Properties
E_form (uncorrected)	-1.24	eV per atom
D(E_F)	4.096	states/eV/f.u.

=====

Record 14
Below is a geometry-optimized Er4SiTe2S structure, with properties calculated at the PBE level.

Cell lengths 4.116, 7.079, 7.394 Å; angles 108.93, 90.00, 90.00 degrees
Sites, in units of the cell vectors:
Er 0.500 0.240 0.210
Er 0.500 0.760 0.790
Er 0.000 0.264 0.786
Er 0.000 0.736 0.214
Si 0.500 0.500 0.000
Te 0.500 0.000 0.500
Te 0.000 0.500 0.500
S 0.000 0.000 0.000

Properties
E_form (uncorrected)	-1.38	eV per atom
D(E_F)	3.189	states/eV/f.u.

=====

Record 15
Below is a geometry-optimized Er6SiTe3S2 structure, with properties calculated at the PBE level.

Cell lengths 7.049, 7.049, 7.371 Å; angles 99.14, 99.14, 119.96 degrees
Sites, in units of the cell vectors:
Er 0.931 0.599 0.791
Er 0.738 0.738 0.208
Er 0.069 0.401 0.209
Er 0.599 0.931 0.791
Er 0.262 0.262 0.792
Er 0.401 0.069 0.209
Si 0.000 0.000 0.000
Te 0.167 0.833 0.500
Te 0.833 0.167 0.500
Te 0.500 0.500 0.500
S 0.333 0.667 0.000
S 0.667 0.333 0.000

Properties
E_form (uncorrected)	-1.46	eV per atom
D(E_F)	4.247	states/eV/f.u.

=====

Record 16
Below is a geometry-optimized ErThSiS structure, with properties calculated at the PBE level.

Cell lengths 4.122, 4.122, 6.979 Å; angles 72.82, 72.82, 60.00 degrees
Sites, in units of the cell vectors:
Er 0.695 0.695 0.916
Th 0.193 0.193 0.421
Si 0.441 0.441 0.677
S 0.948 0.948 0.156

Properties
E_form (uncorrected)	-1.30	eV per atom
D(E_F)	1.884	states/eV/f.u.

=====

Record 17
Below is a geometry-optimized ErTmSiS structure, with properties calculated at the PBE level.

Cell lengths 3.964, 3.964, 6.959 Å; angles 73.45, 73.45, 60.00 degrees
Sites, in units of the cell vectors:
Er 0.693 0.693 0.920
Tm 0.195 0.195 0.415
Si 0.944 0.944 0.169
S 0.445 0.445 0.666

Properties
E_form (uncorrected)	-1.35	eV per atom
D(E_F)	1.557	states/eV/f.u.

=====

Record 18
Below is a geometry-optimized Sm4ErS5 structure, with properties calculated at the PBE level.

Cell lengths 3.978, 3.978, 14.384 Å; angles 97.95, 97.95, 90.00 degrees
Sites, in units of the cell vectors:
Sm 0.399 0.399 0.798
Sm 0.803 0.803 0.606
Sm 0.197 0.197 0.394
Sm 0.601 0.601 0.202
Er 0.000 0.000 0.000
S 0.097 0.097 0.193
S 0.500 0.500 0.000
S 0.903 0.903 0.807
S 0.298 0.298 0.597
S 0.702 0.702 0.403

Properties
E_form (uncorrected)	-2.00	eV per atom
D(E_F)	3.853	states/eV/f.u.

=====

Record 19
Below is a geometry-optimized SmEr4S6 structure, with properties calculated at the PBE level.

Cell lengths 3.828, 6.654, 19.730 Å; angles 90.00, 90.00, 106.72 degrees
Sites, in units of the cell vectors:
Sm 0.653 0.305 0.250
Sm 0.347 0.695 0.750
Er 0.861 0.723 0.539
Er 0.408 0.816 0.127
Er 0.139 0.277 0.461
Er 0.592 0.184 0.873
Er 0.861 0.723 0.961
Er 0.139 0.277 0.039
Er 0.592 0.184 0.627
Er 0.408 0.816 0.373
S 0.500 0.000 0.000
S 0.500 0.000 0.500
S 0.048 0.096 0.335
S 0.952 0.904 0.665
S 0.952 0.904 0.835
S 0.048 0.096 0.165
S 0.769 0.537 0.412
S 0.231 0.463 0.588
S 0.231 0.463 0.912
S 0.769 0.537 0.088
S 0.314 0.627 0.250
S 0.686 0.373 0.750

Properties
E_form (uncorrected)	-2.03	eV per atom
D(E_F)	2.611	states/eV/f.u.

=====

Record 20
Below is a geometry-optimized SmEr2S4 structure, with properties calculated at the PBE level.

Cell lengths 3.841, 11.935, 13.957 Å; angles 90.00, 90.00, 90.00 degrees
Sites, in units of the cell vectors:
Sm 0.250 0.749 0.331
Sm 0.750 0.251 0.669
Sm 0.250 0.249 0.169
Sm 0.750 0.751 0.831
Er 0.750 0.061 0.887
Er 0.250 0.939 0.113
Er 0.750 0.561 0.613
Er 0.250 0.439 0.387
Er 0.250 0.405 0.907
Er 0.750 0.595 0.093
Er 0.250 0.905 0.593
Er 0.750 0.095 0.407
S 0.750 0.097 0.077
S 0.250 0.903 0.923
S 0.750 0.597 0.423
S 0.250 0.403 0.577
S 0.750 0.956 0.717
S 0.250 0.044 0.283
S 0.750 0.456 0.783
S 0.250 0.544 0.217
S 0.750 0.371 0.043
S 0.250 0.629 0.957
S 0.750 0.871 0.457
S 0.250 0.129 0.543
S 0.250 0.199 0.817
S 0.750 0.801 0.183
S 0.250 0.699 0.683
S 0.750 0.301 0.317

Properties
E_form (uncorrected)	-2.04	eV per atom
D(E_F)	2.120	states/eV/f.u.
excess energy over the best structure of this formula in the dataset	20	meV per atom